ErNbBi2: optimized geometry, GGA-PBE.

Cell lengths 10.765, 10.765, 10.765 Å; angles 18.94, 18.94, 18.94 degrees
Atoms (fractional coordinates):
Er 0.000 0.000 0.000
Nb 0.500 0.500 0.500
Bi 0.100 0.100 0.100
Bi 0.900 0.900 0.900

The calculation puts the energy at -5.4406 eV per atom. As for the crystal system: trigonal. The energy of formation from the pure elements is 3.643 kcal/mol of atoms.